#one
Computed, not measured: a relaxed TaTc3Pb crystal at the PBE-GGA level of DFT.

Structure (extended XYZ):
```
5
Lattice="4.808 0.000 0.000 0.000 4.808 0.000 0.000 0.000 4.808" Properties=species:S:1:pos:R:3 pbc="T T T"
Ta 0.000 0.000 0.000
Tc 0.000 0.000 2.404
Tc 0.000 2.404 0.000
Tc 2.404 0.000 0.000
Pb 2.404 2.404 2.404
```

Properties
* mass density: 10194 kg/m³

---

#two
Computed, not measured: a relaxed TaTc3Pb crystal at the PBE-GGA level of DFT.

Structure (extended XYZ):
```
5
Lattice="4.821 0.000 0.000 0.000 4.821 0.000 0.000 0.000 4.821" Properties=species:S:1:pos:R:3 pbc="T T T"
Ta 0.000 0.000 0.000
Tc 0.000 2.411 2.411
Tc 2.411 0.000 2.411
Tc 2.411 2.411 0.000
Pb 2.411 2.411 2.411
```

Properties
* mass density: 10106 kg/m³

---

So which one wins? Going from most stable to least: #one, #two.

---

#one
Computed, not measured: a relaxed TaTcPb2 crystal at the PBE-GGA level of DFT.

Structure (extended XYZ):
```
4
Lattice="4.892 0.000 0.000 0.000 4.892 0.000 0.000 0.000 3.371" Properties=species:S:1:pos:R:3 pbc="T T T"
Ta 0.000 0.000 0.000
Tc 2.446 2.446 0.000
Pb 0.000 2.446 1.686
Pb 2.446 0.000 1.686
```

Properties
* mass density: 14270 kg/m³

---

#two
Computed, not measured: a relaxed TaTcPb2 crystal at the PBE-GGA level of DFT.

Structure (extended XYZ):
```
4
Lattice="4.728 -1.630 0.000 4.728 1.630 0.000 -1.220 0.000 5.329" Properties=species:S:1:pos:R:3 pbc="T T T"
Ta 0.000 0.000 0.000
Tc 4.118 0.000 2.664
Pb 1.400 0.000 3.951
Pb 6.836 0.000 1.378
```

Properties
* mass density: 14016 kg/m³

---

So which one wins? Going from most stable to least: #two, #one.

---

#one
Computed, not measured: a relaxed TaTcPb2 crystal at the PBE-GGA level of DFT.

Structure (extended XYZ):
```
4
Lattice="-1.622 2.436 5.955 1.622 -2.436 5.955 1.622 2.436 -5.955" Properties=species:S:1:pos:R:3 pbc="T T T"
Ta 0.000 0.000 0.000
Tc 1.622 0.000 1.850
Pb 0.000 0.000 4.892
Pb 0.000 2.436 2.309
```

Properties
* mass density: 12229 kg/m³

---

#two
Computed, not measured: a relaxed TaTcPb2 crystal at the PBE-GGA level of DFT.

Structure (extended XYZ):
```
8
Lattice="-2.089 2.089 10.279 2.089 -2.089 10.279 2.089 2.089 -10.279" Properties=species:S:1:pos:R:3 pbc="T T T"
Ta 0.000 0.000 0.000
Ta 0.000 2.089 5.140
Tc 2.089 0.000 5.140
Tc 0.000 0.000 10.279
Pb 1.045 -1.033 7.709
Pb 1.056 1.045 2.570
Pb 1.045 3.122 -2.570
Pb 1.033 1.045 12.849
```

Properties
* mass density: 12832 kg/m³

---

So which one wins? Going from most stable to least: #one, #two.

---

#one
Computed, not measured: a relaxed TaTcPb2 crystal at the PBE-GGA level of DFT.

Structure (extended XYZ):
```
4
Lattice="3.447 0.000 0.000 0.000 4.648 0.000 0.000 0.000 5.201" Properties=species:S:1:pos:R:3 pbc="T T T"
Ta 0.000 0.000 0.000
Tc 1.723 0.000 2.600
Pb 0.000 2.324 2.600
Pb 1.723 2.324 0.000
```

Properties
* mass density: 13820 kg/m³

---

#two
Computed, not measured: a relaxed TaTcPb2 crystal at the PBE-GGA level of DFT.

Structure (extended XYZ):
```
4
Lattice="-2.147 2.147 4.467 2.147 -2.147 4.467 2.147 2.147 -4.467" Properties=species:S:1:pos:R:3 pbc="T T T"
Ta 0.000 0.000 0.000
Tc 2.147 0.000 2.234
Pb 0.000 0.000 4.467
Pb 0.000 2.147 2.234
```

Properties
* mass density: 13979 kg/m³

---

#three
Computed, not measured: a relaxed TaTcPb2 crystal at the PBE-GGA level of DFT.

Structure (extended XYZ):
```
4
Lattice="0.000 3.432 3.432 3.432 0.000 3.432 3.432 3.432 0.000" Properties=species:S:1:pos:R:3 pbc="T T T"
Ta 0.000 0.000 0.000
Tc 3.432 3.432 3.432
Pb 1.716 1.716 1.716
Pb 5.148 5.148 5.148
```

Properties
* mass density: 14243 kg/m³

---

So which one wins? Going from most stable to least: #two, #one, #three.

---

#one
Computed, not measured: a relaxed Ta2Te2Pb crystal at the PBE-GGA level of DFT.

Structure (extended XYZ):
```
10
Lattice="8.381 0.000 0.000 0.000 8.381 0.000 0.000 0.000 3.283" Properties=species:S:1:pos:R:3 pbc="T T T"
Ta 1.226 2.964 0.000
Ta 2.964 7.155 0.000
Ta 5.417 1.226 0.000
Ta 7.155 5.417 0.000
Te 1.181 5.372 1.641
Te 3.009 1.181 1.641
Te 5.372 7.200 1.641
Te 7.200 3.009 1.641
Pb 0.000 0.000 1.641
Pb 4.190 4.190 1.641
```

Properties
* mass density: 11872 kg/m³

---

#two
Computed, not measured: a relaxed Ta2Te2Pb crystal at the PBE-GGA level of DFT.

Structure (extended XYZ):
```
5
Lattice="-1.965 1.965 9.004 1.965 -1.965 9.004 1.965 1.965 -9.004" Properties=species:S:1:pos:R:3 pbc="T T T"
Ta 1.965 0.000 4.502
Ta 0.000 1.965 4.502
Te 0.000 0.000 2.410
Te 0.000 0.000 15.598
Pb 0.000 0.000 9.004
```

Properties
* mass density: 9841 kg/m³

---

So which one wins? Going from most stable to least: #two, #one.

---

#one
Computed, not measured: a relaxed TaTePb crystal at the PBE-GGA level of DFT.

Structure (extended XYZ):
```
6
Lattice="3.686 0.000 0.000 -1.839 5.943 0.000 -0.006 -2.485 7.395" Properties=species:S:1:pos:R:3 pbc="T T T"
Ta 0.001 1.894 0.174
Ta 1.840 1.565 7.221
Te -0.003 0.949 5.182
Te 1.844 2.509 2.214
Pb -0.002 3.994 5.484
Pb 1.844 -0.536 1.911
```

Properties
* mass density: 10572 kg/m³

---

#two
Computed, not measured: a relaxed TaTePb crystal at the PBE-GGA level of DFT.

Structure (extended XYZ):
```
3
Lattice="-1.676 1.676 7.169 1.676 -1.676 7.169 1.676 1.676 -7.169" Properties=species:S:1:pos:R:3 pbc="T T T"
Ta 0.000 0.000 0.000
Te 0.000 0.000 8.720
Pb 0.000 0.000 4.915
```

Properties
* mass density: 10630 kg/m³

---

So which one wins? Going from most stable to least: #one, #two.

---

#one
Computed, not measured: a relaxed TaTl3Pb crystal at the PBE-GGA level of DFT.

Structure (extended XYZ):
```
5
Lattice="5.861 0.000 0.000 0.000 5.861 0.000 0.000 0.000 5.861" Properties=species:S:1:pos:R:3 pbc="T T T"
Ta 0.000 0.000 0.000
Tl 0.000 2.930 2.930
Tl 2.930 0.000 2.930
Tl 2.930 2.930 0.000
Pb 2.930 2.930 2.930
```

Properties
* mass density: 8259 kg/m³

---

#two
Computed, not measured: a relaxed TaTl3Pb crystal at the PBE-GGA level of DFT.

Structure (extended XYZ):
```
5
Lattice="5.490 0.000 0.000 0.000 5.490 0.000 0.000 0.000 5.490" Properties=species:S:1:pos:R:3 pbc="T T T"
Ta 0.000 0.000 0.000
Tl 0.000 0.000 2.745
Tl 0.000 2.745 0.000
Tl 2.745 0.000 0.000
Pb 2.745 2.745 2.745
```

Properties
* mass density: 10050 kg/m³

---

So which one wins? Going from most stable to least: #two, #one.

---

#one
Computed, not measured: a relaxed TaPb2W crystal at the PBE-GGA level of DFT.

Structure (extended XYZ):
```
4
Lattice="3.493 0.000 0.000 0.000 4.741 0.000 0.000 0.000 5.105" Properties=species:S:1:pos:R:3 pbc="T T T"
Ta 0.000 0.000 0.000
Pb 0.000 2.371 2.552
Pb 1.747 2.371 0.000
W 1.747 0.000 2.552
```

Properties
* mass density: 15303 kg/m³

---

#two
Computed, not measured: a relaxed TaPb2W crystal at the PBE-GGA level of DFT.

Structure (extended XYZ):
```
4
Lattice="3.378 0.000 0.000 0.000 3.378 0.000 0.000 0.000 8.655" Properties=species:S:1:pos:R:3 pbc="T T T"
Ta 0.000 0.000 0.000
Pb 0.000 0.000 3.282
Pb 1.689 1.689 6.548
W 1.689 1.689 1.228
```

Properties
* mass density: 13105 kg/m³

---

So which one wins? Going from most stable to least: #two, #one.

---

#one
Computed, not measured: a relaxed TaPb2W crystal at the PBE-GGA level of DFT.

Structure (extended XYZ):
```
4
Lattice="0.000 3.511 3.511 3.511 0.000 3.511 3.511 3.511 0.000" Properties=species:S:1:pos:R:3 pbc="T T T"
Ta 0.000 0.000 0.000
Pb 3.511 3.511 3.511
Pb 5.266 5.266 5.266
W 1.755 1.755 1.755
```

Properties
* mass density: 14949 kg/m³

---

#two
Computed, not measured: a relaxed TaPb2W crystal at the PBE-GGA level of DFT.

Structure (extended XYZ):
```
4
Lattice="-1.604 2.451 6.033 1.604 -2.451 6.033 1.604 2.451 -6.033" Properties=species:S:1:pos:R:3 pbc="T T T"
Ta 0.000 0.000 0.000
Pb 0.000 0.000 4.994
Pb 0.000 2.451 2.363
W 1.604 0.000 2.005
```

Properties
* mass density: 13641 kg/m³

---

So which one wins? Going from most stable to least: #two, #one.

---

#one
Computed, not measured: a relaxed ZrTaPb2 crystal at the PBE-GGA level of DFT.

Structure (extended XYZ):
```
4
Lattice="5.767 -1.583 0.000 5.767 1.583 0.000 -1.549 0.000 5.139" Properties=species:S:1:pos:R:3 pbc="T T T"
Zr 0.000 0.000 0.000
Ta 7.722 0.000 1.697
Pb 1.487 0.000 4.366
Pb 4.657 0.000 2.450
```

Properties
* mass density: 12151 kg/m³

---

#two
Computed, not measured: a relaxed ZrTaPb2 crystal at the PBE-GGA level of DFT.

Structure (extended XYZ):
```
4
Lattice="3.193 -3.735 0.000 3.193 3.735 0.000 0.000 0.000 3.798" Properties=species:S:1:pos:R:3 pbc="T T T"
Zr 0.000 0.000 0.000
Ta 3.193 0.000 0.000
Pb 1.597 1.867 1.899
Pb 1.597 -1.867 1.899
```

Properties
* mass density: 12586 kg/m³

---

#three
Computed, not measured: a relaxed ZrTaPb2 crystal at the PBE-GGA level of DFT.

Structure (extended XYZ):
```
4
Lattice="-1.892 2.441 4.989 1.892 -2.441 4.989 1.892 2.441 -4.989" Properties=species:S:1:pos:R:3 pbc="T T T"
Zr 0.000 0.000 0.000
Ta 0.000 2.441 2.739
Pb 1.892 0.000 2.602
Pb 0.000 0.000 5.272
```

Properties
* mass density: 12367 kg/m³

---

So which one wins? Going from most stable to least: #one, #three, #two.

---

#one
Computed, not measured: a relaxed ZrTaPb2 crystal at the PBE-GGA level of DFT.

Structure (extended XYZ):
```
4
Lattice="-1.870 2.622 4.705 1.870 -2.622 4.705 1.870 2.622 -4.705" Properties=species:S:1:pos:R:3 pbc="T T T"
Zr 0.000 0.000 0.000
Ta 0.000 0.000 4.705
Pb 1.870 0.000 2.411
Pb 0.000 2.622 2.293
```

Properties
* mass density: 12354 kg/m³

---

#two
Computed, not measured: a relaxed ZrTaPb2 crystal at the PBE-GGA level of DFT.

Structure (extended XYZ):
```
4
Lattice="-2.366 2.366 4.052 2.366 -2.366 4.052 2.366 2.366 -4.052" Properties=species:S:1:pos:R:3 pbc="T T T"
Zr 0.000 0.000 0.000
Ta 0.000 0.000 4.052
Pb 2.366 0.000 2.026
Pb 0.000 2.366 2.026
```

Properties
* mass density: 12564 kg/m³

---

#three
Computed, not measured: a relaxed ZrTaPb2 crystal at the PBE-GGA level of DFT.

Structure (extended XYZ):
```
4
Lattice="3.220 -4.652 0.000 3.220 4.652 0.000 -0.981 0.000 3.067" Properties=species:S:1:pos:R:3 pbc="T T T"
Zr 0.000 0.000 0.000
Ta 3.220 0.000 0.000
Pb 1.120 2.326 1.533
Pb 1.120 -2.326 1.533
```

Properties
* mass density: 12407 kg/m³

---

So which one wins? Going from most stable to least: #one, #three, #two.

---

#one
Computed, not measured: a relaxed ZrTaPb2 crystal at the PBE-GGA level of DFT.

Structure (extended XYZ):
```
4
Lattice="1.626 0.939 11.136 -1.626 0.939 11.136 0.000 -1.878 11.136" Properties=species:S:1:pos:R:3 pbc="T T T"
Zr 0.000 0.000 0.000
Ta 0.000 0.000 8.796
Pb 0.000 0.000 17.361
Pb 0.000 0.000 25.049
```

Properties
* mass density: 11174 kg/m³

---

#two
Computed, not measured: a relaxed ZrTaPb2 crystal at the PBE-GGA level of DFT.

Structure (extended XYZ):
```
4
Lattice="3.214 0.000 0.000 0.000 5.072 0.000 -1.538 0.000 5.774" Properties=species:S:1:pos:R:3 pbc="T T T"
Zr 0.000 0.000 0.000
Ta -0.771 2.536 4.198
Pb 0.399 0.000 3.096
Pb 1.797 2.536 1.149
```

Properties
* mass density: 12110 kg/m³

---

#three
Computed, not measured: a relaxed ZrTaPb2 crystal at the PBE-GGA level of DFT.

Structure (extended XYZ):
```
4
Lattice="0.000 3.639 3.639 3.639 0.000 3.639 3.639 3.639 0.000" Properties=species:S:1:pos:R:3 pbc="T T T"
Zr 0.000 0.000 0.000
Ta 5.458 5.458 5.458
Pb 1.819 1.819 1.819
Pb 3.639 3.639 3.639
```

Properties
* mass density: 11829 kg/m³

---

So which one wins? Going from most stable to least: #one, #two, #three.